Entry 1:
Here is Ac12La3Nd after structural relaxation from the Alexandria database. Energies are from PBE-GGA.

Unit cell a=5.5608 b=5.5608 c=22.1864 alpha=90.00 beta=90.00 gamma=90.00
Last column: nearest neighbours and their distance in Å.
Positions (direct):
Ac 0.5000 0.0000 0.1240  8 Ac 3.91-3.93, 2 Nd 3.91, 2 La 3.93
Ac 0.5000 0.5000 0.5000  4 La 3.93, 8 Ac 3.93
Ac 0.0000 0.5000 0.3746  8 Ac 3.93-3.94, 4 La 3.93
Ac 0.5000 0.0000 0.6254  8 Ac 3.93-3.94, 4 La 3.93
Ac 0.0000 0.5000 0.8760  8 Ac 3.91-3.93, 2 Nd 3.91, 2 La 3.93
Ac 0.5000 0.0000 0.3746  8 Ac 3.93-3.94, 4 La 3.93
Ac 0.5000 0.5000 0.2488  8 Ac 3.92-3.94, 4 La 3.93
Ac 0.5000 0.0000 0.8760  8 Ac 3.91-3.93, 2 Nd 3.91, 2 La 3.93
Ac 0.0000 0.5000 0.1240  8 Ac 3.91-3.93, 2 Nd 3.91, 2 La 3.93
Ac 0.5000 0.5000 0.7512  8 Ac 3.92-3.94, 4 La 3.93
Ac 0.0000 0.5000 0.6254  8 Ac 3.93-3.94, 4 La 3.93
Ac 0.5000 0.5000 0.0000  8 Ac 3.91, 4 Nd 3.93
Nd 0.0000 0.0000 0.0000  12 Ac 3.91-3.93
La 0.0000 0.0000 0.7508  12 Ac 3.93
La 0.0000 0.0000 0.2492  12 Ac 3.93
La 0.0000 0.0000 0.5000  12 Ac 3.93

Formation enthalpy at 0 K, eV/atom: 0.018
Density, g cm⁻³: 7.951
Fermi-level density of states, states/eV per cell: 29.95
Crystal system: tetragonal
Energy, eV/atom: -4.29
Space group: P4/mmm, No. 123

***

Entry 2:
Here is Ac2LaNd6 after structural relaxation from the Alexandria database. Energies are from PBE-GGA.

Unit cell a=3.5726 b=10.4836 c=10.4836 alpha=120.00 beta=90.00 gamma=90.00
Last column: nearest neighbours and their distance in Å.
Positions (direct):
Nd 0.7753 0.6699 0.0000  1 La 3.55, 5 Nd 3.57-3.91, 2 Ac 3.65
Nd 0.7753 0.3301 0.3301  1 La 3.55, 5 Nd 3.57-3.91, 2 Ac 3.65
Nd 0.2247 0.0000 0.3301  1 La 3.55, 5 Nd 3.57-3.91, 2 Ac 3.65
Nd 0.2247 0.3301 0.0000  1 La 3.55, 5 Nd 3.57-3.91, 2 Ac 3.65
Nd 0.2247 0.6699 0.6699  1 La 3.55, 5 Nd 3.57-3.91, 2 Ac 3.65
Nd 0.7753 0.0000 0.6699  1 La 3.55, 5 Nd 3.57-3.91, 2 Ac 3.65
La 0.0000 0.0000 0.0000  6 Nd 3.55, 2 La 3.57
Ac 0.5000 0.6667 0.3333  2 Ac 3.57, 6 Nd 3.65
Ac 0.5000 0.3333 0.6667  2 Ac 3.57, 6 Nd 3.65

Formation enthalpy at 0 K, eV/atom: 0.169
Density, g cm⁻³: 7.122
Fermi-level density of states, states/eV per cell: 20.95
Crystal system: trigonal
Energy, eV/atom: -4.47
Space group: P-31m, No. 162

***

Entry 3:
Here is Ac12LaNd3 after structural relaxation from the Alexandria database. Energies are from PBE-GGA.

Unit cell a=5.5503 b=5.5503 c=22.1352 alpha=90.00 beta=90.00 gamma=90.00
Last column: nearest neighbours and their distance in Å.
Positions (direct):
Ac 0.0000 0.5000 0.3753  8 Ac 3.91-3.92, 4 Nd 3.91-3.92
Ac 0.5000 0.0000 0.3753  8 Ac 3.91-3.92, 4 Nd 3.91-3.92
Ac 0.5000 0.0000 0.1259  2 Nd 3.91, 8 Ac 3.92-3.93, 2 La 3.93
Ac 0.5000 0.0000 0.8741  2 Nd 3.91, 8 Ac 3.92-3.93, 2 La 3.93
Ac 0.5000 0.5000 0.7491  8 Ac 3.91-3.92, 4 Nd 3.92
Ac 0.0000 0.5000 0.8741  2 Nd 3.91, 8 Ac 3.92-3.93, 2 La 3.93
Ac 0.0000 0.5000 0.6247  8 Ac 3.91-3.92, 4 Nd 3.91-3.92
Ac 0.5000 0.0000 0.6247  8 Ac 3.91-3.92, 4 Nd 3.91-3.92
Ac 0.5000 0.5000 0.5000  8 Ac 3.91, 4 Nd 3.92
Ac 0.0000 0.5000 0.1259  2 Nd 3.91, 8 Ac 3.92-3.93, 2 La 3.93
Ac 0.5000 0.5000 0.0000  4 La 3.92, 8 Ac 3.93
Ac 0.5000 0.5000 0.2509  8 Ac 3.91-3.92, 4 Nd 3.92
La 0.0000 0.0000 0.0000  12 Ac 3.92-3.93
Nd 0.0000 0.0000 0.7495  12 Ac 3.91-3.92
Nd 0.0000 0.0000 0.2505  12 Ac 3.91-3.92
Nd 0.0000 0.0000 0.5000  12 Ac 3.91-3.92

Formation enthalpy at 0 K, eV/atom: 0.021
Density, g cm⁻³: 8.025
Fermi-level density of states, states/eV per cell: 28.96
Crystal system: tetragonal
Energy, eV/atom: -4.26
Space group: P4/mmm, No. 123